1.
A relaxed structure of LiWF3. Source: Alexandria via LeMat-Bulk, functional PBE with a Hubbard U.

Results
Energy above the most stable polymorph in this dataset = 257 meV per atom
Magnetic moment = 4.000 Bohr magnetons per cell
Mass density = 7.45 Mg/m³
Total DFT energy (no corrections) = -22.69 eV per cell
Fermi-level density of states = 0.7508 states/eV per atom

Cell: 3.8082 3.8082 3.8082 Å, 90.00 90.00 90.00°
With the nearest neighbours (Å) after each atom.
Space group Pm-3m (No. 221)
One atom of each set of equivalent atoms:
Li: 0.0000 0.0000 0.0000 x1  6 F 1.90
W: 0.5000 0.5000 0.5000 x1  12 F 2.69
F: 0.0000 0.0000 0.5000 x3  2 Li 1.90



2.
A relaxed structure of FeTc3O12. Source: Alexandria via LeMat-Bulk, functional PBE with a Hubbard U.

Results
Magnetic moment = 31.074 Bohr magnetons per cell
Mass density = 2.96 Mg/m³
Total DFT energy (no corrections) = -707.28 eV per cell
Fermi-level density of states = 0.0000 states/eV per atom

Cell: 8.7215 8.7215 27.6714 Å, 90.00 90.00 120.00°
With the nearest neighbours (Å) after each atom.
Space group R3c (No. 161, hexagonal axes)
One atom of each set of equivalent atoms:
Fe: 0.0000 0.0000 0.0000 x6  6 O 2.01-2.02
Tc: 0.0041 0.3140 0.0882 x18  4 O 1.71-1.78
O: 0.0654 0.2131 0.0419 x18  1 Tc 1.78
O: 0.1766 0.3562 0.2902 x18  1 Tc 1.71
O: 0.1810 0.4118 0.3961 x18  1 Tc 1.71
O: 0.1904 0.4550 0.1244 x18  1 Tc 1.78